#one
LaVTe2I (PBE, relaxed); calculated volume = 46.9 Å³ per atom
1.0
6.168 0.000 0.000
0.000 6.168 0.000
0.000 0.000 6.162
La V Te I
1 1 2 1
Direct
0.000 0.000 0.000 La
0.500 0.500 0.500 V
0.000 0.500 0.000 Te
0.500 0.000 0.000 Te
0.000 0.000 0.500 I

#two
LaVTe2I (PBE, relaxed); calculated volume = 31.2 Å³ per atom
1.0
5.431 0.000 0.000
0.000 5.431 0.000
0.000 0.000 5.290
La V Te I
1 1 2 1
Direct
0.000 0.000 0.000 La
0.500 0.500 0.500 V
0.000 0.500 0.500 Te
0.500 0.000 0.500 Te
0.500 0.500 0.000 I

#three
LaVTe2I (PBE, relaxed); calculated volume = 52.1 Å³ per atom
1.0
5.942 0.000 0.000
0.000 5.942 0.000
0.000 0.000 7.380
La V Te I
1 1 2 1
Direct
0.000 0.000 0.000 La
0.000 0.000 0.500 V
0.000 0.500 0.000 Te
0.500 0.000 0.000 Te
0.500 0.500 0.500 I

Compare the structures above. Which one is the least stable? #three is.